A plane-wave DFT calculation with PBE-GGA was carried out for a relaxed PrIn4Pd2Rh crystal.

Output
Formation energy   -0.49 eV/atom

Unit cell a=4.585 b=4.585 c=9.727 alpha=76.37 beta=76.37 gamma=60.00
Fractional positions:
Pr 0.000 0.000 0.000
In 0.400 0.400 0.801
In 0.867 0.867 0.399
In 0.133 0.133 0.601
In 0.600 0.600 0.199
Pd 0.764 0.764 0.707
Pd 0.236 0.236 0.293
Rh 0.500 0.500 0.500

***

A plane-wave DFT calculation with PBE-GGA was carried out for a relaxed BaAc2Sn6 crystal.

Output
Formation energy   -0.51 eV/atom

Unit cell a=4.525 b=8.831 c=8.831 alpha=120.00 beta=90.00 gamma=90.00
Fractional positions:
Ba 0.000 0.000 0.000
Ac 0.000 0.333 0.667
Ac 0.000 0.667 0.333
Sn 0.500 0.336 0.336
Sn 0.500 0.664 0.664
Sn 0.500 0.000 0.664
Sn 0.500 0.664 0.000
Sn 0.500 0.336 0.000
Sn 0.500 0.000 0.336

***

A plane-wave DFT calculation with PBE-GGA was carried out for a relaxed K2SrCaB crystal.

Output
Formation energy   1.68 eV/atom

Unit cell a=7.695 b=7.416 c=7.695 alpha=90.00 beta=90.00 gamma=90.00
Fractional positions:
Sr 0.000 0.000 0.000
Ca 0.000 0.500 0.000
B 0.500 0.500 0.500
K 0.000 0.000 0.500
K 0.500 0.000 0.000

***

A plane-wave DFT calculation with PBE-GGA was carried out for a relaxed PtSe2F2 crystal.

Output
Offset from the most stable computed form   0.079 eV/atom
Uncorrected formation energy   -0.3378 eV per atom

Unit cell a=3.417 b=3.417 c=6.625 alpha=75.06 beta=75.06 gamma=90.00
Fractional positions:
Se 0.388 0.388 0.224
Se 0.612 0.612 0.776
Pt 0.000 0.000 0.000
F 0.750 0.250 0.500
F 0.250 0.750 0.500